No. 1
Material: AcSm4Ho7
Method: DFT, GGA-PBE
State: relaxed

abc: 6.861 6.861 12.666
angles: 115.63 115.63 52.39
Fractional coordinates of all 12 atoms:
Ac 0.000 0.000 0.000
Sm 0.252 0.252 0.681
Sm 0.371 0.371 0.224
Sm 0.629 0.629 0.776
Sm 0.748 0.748 0.319
Ho 0.054 0.054 0.340
Ho 0.216 0.216 0.921
Ho 0.365 0.365 0.494
Ho 0.500 0.500 0.000
Ho 0.635 0.635 0.506
Ho 0.784 0.784 0.079
Ho 0.946 0.946 0.660

Output
Crystal system: monoclinic
Calculated density in kg/m³: 7958
Formation energy in meV/atom: 300

No. 2
Material: Bi2Mo2Au
Method: DFT, GGA-PBE
State: relaxed

abc: 9.134 9.134 9.134
angles: 156.89 156.89 32.91
Fractional coordinates of all 5 atoms:
Bi 0.112 0.112 0.000
Bi 0.888 0.888 0.000
Mo 0.250 0.750 0.500
Mo 0.750 0.250 0.500
Au 0.500 0.500 0.000

Output
Crystal system: tetragonal
Calculated density in kg/m³: 11423
Formation energy in meV/atom: 459

No. 3
Material: SiPbI2N
Method: DFT, GGA-PBE
State: relaxed

abc: 6.040 6.040 3.470
angles: 90.00 90.00 90.00
Fractional coordinates of all 5 atoms:
Si 0.000 0.000 0.000
Pb 0.500 0.500 0.500
I 0.000 0.500 0.000
I 0.500 0.000 0.000
N 0.000 0.000 0.500

Output
Formation energy from raw total energies in eV per atom: 0.172
Crystal system: tetragonal
Calculated density in kg/m³: 6600

No. 4
Material: PI2O2
Method: DFT, GGA-PBE
State: relaxed

abc: 4.038 4.038 6.123
angles: 90.00 90.00 90.00
Fractional coordinates of all 5 atoms:
P 0.000 0.000 0.000
I 0.000 0.000 0.500
I 0.500 0.500 0.500
O 0.000 0.500 0.000
O 0.500 0.000 0.000

Output
Formation energy from raw total energies in eV per atom: 0.300
Crystal system: tetragonal
Calculated density in kg/m³: 5268

No. 5
Material: LiFeH3
Method: DFT, GGA-PBE
State: relaxed

abc: 4.423 4.423 4.451
angles: 90.00 90.00 120.00
Fractional coordinates of all 10 atoms:
Li 0.333 0.667 0.250
Li 0.667 0.333 0.750
Fe 0.000 0.000 0.000
Fe 0.000 0.000 0.500
H 0.162 0.324 0.750
H 0.162 0.838 0.750
H 0.324 0.162 0.250
H 0.676 0.838 0.750
H 0.838 0.162 0.250
H 0.838 0.676 0.250

Output
Crystal system: hexagonal
Calculated density in kg/m³: 2898

No. 6
Material: LiAs2Se6
Method: DFT, GGA-PBE
State: relaxed

abc: 9.087 9.087 6.823
angles: 105.88 105.88 60.95
Fractional coordinates of all 18 atoms:
Li 0.185 0.815 0.750
Li 0.815 0.185 0.250
As 0.136 0.307 0.238
As 0.307 0.136 0.738
As 0.693 0.864 0.262
As 0.864 0.693 0.762
Se 0.051 0.195 0.869
Se 0.156 0.519 0.681
Se 0.195 0.051 0.369
Se 0.356 0.570 0.047
Se 0.430 0.644 0.453
Se 0.481 0.844 0.819
Se 0.519 0.156 0.181
Se 0.570 0.356 0.547
Se 0.644 0.430 0.953
Se 0.805 0.949 0.631
Se 0.844 0.481 0.319
Se 0.949 0.805 0.131

Output
Formation energy from raw total energies in eV per atom: -0.176
Crystal system: monoclinic
Calculated density in kg/m³: 4484

No. 7
Material: PrMg2Cu9
Method: DFT, GGA-PBE
State: relaxed

abc: 5.110 5.110 15.998
angles: 90.00 90.00 120.00
Fractional coordinates of all 24 atoms:
Pr 0.333 0.667 0.250
Pr 0.667 0.333 0.750
Mg 0.333 0.667 0.031
Mg 0.333 0.667 0.469
Mg 0.667 0.333 0.531
Mg 0.667 0.333 0.969
Cu 0.000 0.000 0.000
Cu 0.000 0.000 0.250
Cu 0.000 0.000 0.500
Cu 0.000 0.000 0.750
Cu 0.169 0.337 0.622
Cu 0.169 0.337 0.878
Cu 0.169 0.831 0.622
Cu 0.169 0.831 0.878
Cu 0.333 0.667 0.750
Cu 0.337 0.169 0.122
Cu 0.337 0.169 0.378
Cu 0.663 0.831 0.622
Cu 0.663 0.831 0.878
Cu 0.667 0.333 0.250
Cu 0.831 0.169 0.122
Cu 0.831 0.169 0.378
Cu 0.831 0.663 0.122
Cu 0.831 0.663 0.378

Output
Crystal system: hexagonal
Calculated density in kg/m³: 6991
Formation energy in meV/atom: -162

No. 8
Material: YIn
Method: DFT, GGA-PBE
State: relaxed

abc: 8.021 8.021 8.021
angles: 109.47 109.47 109.47
Fractional coordinates of all 8 atoms:
Y 0.000 0.000 0.605
Y 0.000 0.605 0.000
Y 0.395 0.395 0.395
Y 0.605 0.000 0.000
In 0.000 0.000 0.237
In 0.000 0.237 0.000
In 0.237 0.000 0.000
In 0.763 0.763 0.763

Output
Crystal system: cubic
Calculated density in kg/m³: 3407
Formation energy in meV/atom: 582

No. 9
Material: Ho5Zn2Tc
Method: DFT, GGA-PBE
State: relaxed

abc: 6.433 12.039 4.970
angles: 90.00 90.00 90.00
Fractional coordinates of all 16 atoms:
Ho 0.000 0.000 0.000
Ho 0.141 0.285 0.000
Ho 0.162 0.604 0.500
Ho 0.338 0.104 0.500
Ho 0.359 0.785 0.000
Ho 0.500 0.500 0.000
Ho 0.641 0.215 0.000
Ho 0.662 0.896 0.500
Ho 0.838 0.396 0.500
Ho 0.859 0.715 0.000
Zn 0.128 0.863 0.500
Zn 0.372 0.363 0.500
Zn 0.628 0.637 0.500
Zn 0.872 0.137 0.500
Tc 0.000 0.500 0.000
Tc 0.500 0.000 0.000

Output
Crystal system: orthorhombic
Calculated density in kg/m³: 9090
Formation energy in meV/atom: -186

No. 10
Material: Al2CoIr
Method: DFT, GGA-PBE
State: relaxed

abc: 2.792 3.690 5.202
angles: 90.00 90.00 90.00
Fractional coordinates of all 4 atoms:
Al 0.000 0.000 0.000
Al 0.500 0.500 0.301
Co 0.000 0.000 0.487
Ir 0.500 0.500 0.794

Output
Crystal system: orthorhombic
Calculated density in kg/m³: 9451
Formation energy in meV/atom: -475

No. 11
Material: GdMgZr2
Method: DFT, GGA-PBE
State: relaxed

abc: 4.592 4.592 4.626
angles: 90.00 90.00 90.00
Fractional coordinates of all 4 atoms:
Gd 0.000 0.000 0.000
Mg 0.500 0.500 0.000
Zr 0.000 0.500 0.500
Zr 0.500 0.000 0.500

Output
Crystal system: tetragonal
Calculated density in kg/m³: 6198
Formation energy in meV/atom: 99

No. 12
Material: NdDy2Er8
Method: DFT, GGA-PBE
State: relaxed

abc: 9.040 9.040 8.304
angles: 115.14 115.14 34.80
Fractional coordinates of all 11 atoms:
Nd 0.000 0.000 0.000
Dy 0.298 0.298 0.342
Dy 0.702 0.702 0.658
Er 0.118 0.118 0.444
Er 0.167 0.167 0.893
Er 0.341 0.341 0.802
Er 0.481 0.481 0.277
Er 0.519 0.519 0.723
Er 0.659 0.659 0.198
Er 0.833 0.833 0.107
Er 0.882 0.882 0.556

Output
Crystal system: monoclinic
Calculated density in kg/m³: 8653
Formation energy in meV/atom: 102

No. 13
Material: AgIr2Au
Method: DFT, GGA-PBE
State: relaxed

abc: 4.513 4.513 4.513
angles: 60.00 60.00 60.00
Fractional coordinates of all 4 atoms:
Ag 0.000 0.000 0.000
Ir 0.500 0.500 0.500
Ir 0.750 0.750 0.750
Au 0.250 0.250 0.250

Output
Crystal system: cubic
Calculated density in kg/m³: 17606
Formation energy in meV/atom: 577

No. 14
Material: Cd2HgRh
Method: DFT, GGA-PBE
State: relaxed

abc: 3.131 3.214 7.973
angles: 90.00 90.00 90.00
Fractional coordinates of all 4 atoms:
Cd 0.000 0.000 0.210
Cd 0.000 0.000 0.790
Hg 0.500 0.500 0.500
Rh 0.500 0.500 0.000

Output
Crystal system: orthorhombic
Calculated density in kg/m³: 10937
Formation energy in meV/atom: -43

No. 15
Material: Nd2Sm2Ho5
Method: DFT, GGA-PBE
State: relaxed

abc: 10.132 10.132 10.132
angles: 84.63 108.39 141.08
Fractional coordinates of all 18 atoms:
Nd 0.003 0.127 0.130
Nd 0.003 0.373 0.376
Nd 0.997 0.627 0.624
Nd 0.997 0.873 0.870
Sm 0.454 0.454 0.000
Sm 0.454 0.954 0.500
Sm 0.538 0.798 0.240
Sm 0.559 0.298 0.760
Ho 0.095 0.100 0.495
Ho 0.098 0.475 0.908
Ho 0.098 0.690 0.123
Ho 0.405 0.201 0.309
Ho 0.405 0.595 0.703
Ho 0.567 0.190 0.092
Ho 0.567 0.975 0.877
Ho 0.605 0.600 0.505
Ho 0.892 0.095 0.691
Ho 0.892 0.701 0.297

Output
Crystal system: orthorhombic
Calculated density in kg/m³: 7831
Formation energy in meV/atom: 207

No. 16
Material: NbMoH2
Method: DFT, GGA-PBE
State: relaxed

abc: 5.406 5.406 5.406
angles: 133.44 133.44 67.97
Fractional coordinates of all 8 atoms:
Nb 0.000 0.000 0.000
Nb 0.750 0.250 0.500
Mo 0.250 0.750 0.500
Mo 0.500 0.500 0.000
H 0.140 0.625 0.015
H 0.375 0.390 0.515
H 0.610 0.125 0.985
H 0.875 0.860 0.485

Output
Crystal system: tetragonal
Calculated density in kg/m³: 7743

No. 17
Material: Pm3PrAs4
Method: DFT, GGA-PBE
State: relaxed

abc: 6.017 6.017 6.017
angles: 90.00 90.00 90.00
Fractional coordinates of all 8 atoms:
Pm 0.000 0.000 0.500
Pm 0.000 0.500 0.000
Pm 0.500 0.000 0.000
Pr 0.500 0.500 0.500
As 0.000 0.000 0.000
As 0.000 0.500 0.500
As 0.500 0.000 0.500
As 0.500 0.500 0.000

Output
Crystal system: cubic
Calculated density in kg/m³: 6674
Formation energy in meV/atom: -1522

No. 18
Material: CaLa8Pm2
Method: DFT, GGA-PBE
State: relaxed

abc: 9.860 9.860 8.335
angles: 104.39 104.39 31.18
Fractional coordinates of all 11 atoms:
Ca 0.000 0.000 0.000
La 0.093 0.093 0.462
La 0.184 0.184 0.910
La 0.358 0.358 0.809
La 0.452 0.452 0.283
La 0.548 0.548 0.717
La 0.642 0.642 0.191
La 0.816 0.816 0.090
La 0.907 0.907 0.538
Pm 0.273 0.273 0.364
Pm 0.727 0.727 0.636

Output
Crystal system: monoclinic
Calculated density in kg/m³: 5905
Formation energy in meV/atom: 26

No. 19
Material: LaCeNdTh
Method: DFT, GGA-PBE
State: relaxed

abc: 5.728 5.728 5.728
angles: 60.00 60.00 60.00
Fractional coordinates of all 4 atoms:
La 0.000 0.000 0.000
Ce 0.750 0.750 0.750
Nd 0.250 0.250 0.250
Th 0.500 0.500 0.500

Output
Crystal system: cubic
Calculated density in kg/m³: 8187
Formation energy in meV/atom: 226

No. 20
Material: Ta2PdN2
Method: DFT, GGA-PBE
State: relaxed

abc: 6.648 6.648 2.812
angles: 90.00 90.00 90.00
Fractional coordinates of all 10 atoms:
Ta 0.143 0.357 0.000
Ta 0.357 0.857 0.000
Ta 0.643 0.143 0.000
Ta 0.857 0.643 0.000
Pd 0.000 0.000 0.000
Pd 0.500 0.500 0.000
N 0.127 0.627 0.500
N 0.373 0.127 0.500
N 0.627 0.873 0.500
N 0.873 0.373 0.500

Output
Formation energy from raw total energies in eV per atom: 0.004
Crystal system: tetragonal
Calculated density in kg/m³: 13265

no.,electronic total energy (eV/cell)
1,-51.43
2,-30.41
3,-19.70
4,-16.93
5,-41.69
6,-67.41
7,-93.55
8,-32.15
9,-74.58
10,-25.35
11,-32.37
12,-49.35
13,-21.54
14,-9.65
15,-80.00
16,-55.08
17,-49.80
18,-50.64
19,-22.15
20,-91.06